Computed, not measured: crystalline ZrTlCd3 at its relaxed geometry at the PBE-GGA level of DFT.

Values from the calculation:
* polymorph energy (0 for the lowest one): 0.000 eV/atom
* Fermi-level density of states: 5.02 states/eV/cell

Cell: 5.704 5.704 5.704 Å, 90.00 90.00 90.00°
Space group Pm-3m (No. 221)
Inequivalent atoms, fractional coordinates:
Zr (0.000, 0.000, 0.000) (multiplicity 1)
Tl (0.500, 0.500, 0.500) (multiplicity 1)
Cd (0.000, 0.000, 0.500) (multiplicity 3)

***

Computed, not measured: crystalline Zr4Tl3Cd at its relaxed geometry at the PBE-GGA level of DFT.

Values from the calculation:
* Fermi-level density of states: 11.36 states/eV/cell
* total energy: -84.7 eV/cell

Cell: 13.727 5.367 5.367 Å, 90.00 112.92 90.00°
Space group C2/m (No. 12)
Inequivalent atoms, fractional coordinates:
Zr (0.125, 0.000, 0.125) (multiplicity 4)
Zr (0.125, 0.500, 0.625) (multiplicity 4)
Tl (0.000, 0.000, 0.500) (multiplicity 2)
Tl (0.246, 0.500, 0.246) (multiplicity 4)
Cd (0.000, 0.500, 0.000) (multiplicity 2)

***

Computed, not measured: crystalline ZrTlCd at its relaxed geometry at the PBE-GGA level of DFT.

Values from the calculation:
* Fermi-level density of states: 7.25 states/eV/cell
* total energy: -46.5 eV/cell

Cell: 3.450 5.461 15.240 Å, 90.00 90.00 90.00°
Space group Fmm2 (No. 42)
Inequivalent atoms, fractional coordinates:
Zr (0.000, 0.000, 0.000) (multiplicity 4)
Tl (0.000, 0.000, 0.332) (multiplicity 4)
Cd (0.000, 0.000, 0.664) (multiplicity 4)

***

Computed, not measured: crystalline Zr3TlCd at its relaxed geometry at the PBE-GGA level of DFT.

Values from the calculation:
* polymorph energy (0 for the lowest one): 0.712 eV/atom
* Fermi-level density of states: 6.11 states/eV/cell

Cell: 5.241 5.241 5.241 Å, 90.00 90.00 90.00°
Space group Pm-3m (No. 221)
Inequivalent atoms, fractional coordinates:
Zr (0.000, 0.000, 0.500) (multiplicity 3)
Tl (0.500, 0.500, 0.500) (multiplicity 1)
Cd (0.000, 0.000, 0.000) (multiplicity 1)

***

Computed, not measured: crystalline ZrTl2Cd at its relaxed geometry at the PBE-GGA level of DFT.

Values from the calculation:
* polymorph energy (0 for the lowest one): 0.087 eV/atom
* Fermi-level density of states: 2.64 states/eV/cell

Cell: 3.407 4.516 6.387 Å, 90.00 90.00 90.00°
Space group Pmm2 (No. 25)
Inequivalent atoms, fractional coordinates:
Zr (0.000, 0.000, 0.000) (multiplicity 1)
Tl (0.000, 0.000, 0.491) (multiplicity 1)
Tl (0.500, 0.500, 0.776) (multiplicity 1)
Cd (0.500, 0.500, 0.245) (multiplicity 1)

***

Computed, not measured: crystalline Zr3TlCd at its relaxed geometry at the PBE-GGA level of DFT.

Values from the calculation:
* polymorph energy (0 for the lowest one): 0.000 eV/atom
* Fermi-level density of states: 18.46 states/eV/cell

Cell: 5.720 15.665 5.488 Å, 90.00 90.00 90.00°
Space group Cmcm (No. 63)
Inequivalent atoms, fractional coordinates:
Zr (0.000, 0.000, 0.000) (multiplicity 4)
Zr (0.246, 0.155, 0.250) (multiplicity 8)
Tl (0.000, 0.174, 0.750) (multiplicity 4)
Cd (0.000, 0.452, 0.250) (multiplicity 4)

***

Computed, not measured: crystalline ZrTlCd at its relaxed geometry at the PBE-GGA level of DFT.

Values from the calculation:
* Fermi-level density of states: 3.56 states/eV/cell
* total energy: -23.5 eV/cell

Cell: 3.283 3.283 12.903 Å, 90.00 90.00 90.00°
Space group I4mm (No. 107)
Inequivalent atoms, fractional coordinates:
Zr (0.000, 0.000, 0.000) (multiplicity 2)
Tl (0.000, 0.000, 0.332) (multiplicity 2)
Cd (0.000, 0.000, 0.660) (multiplicity 2)

***

Computed, not measured: crystalline Zr3TlCd at its relaxed geometry at the PBE-GGA level of DFT.

Values from the calculation:
* polymorph energy (0 for the lowest one): 0.010 eV/atom
* Fermi-level density of states: 31.53 states/eV/cell

Cell: 8.4264 8.4264 11.6799 Å, 90.00 90.00 120.00°
Space group R-3 (No. 148, hexagonal axes)
Inequivalent atoms, fractional coordinates:
Zr (0.0035, 0.6943, 0.2496) (multiplicity 18)
Tl (0.0000, 0.0000, 0.1222) (multiplicity 6)
Cd (0.0000, 0.0000, 0.3850) (multiplicity 6)

***

Computed, not measured: crystalline ZrTlCd2 at its relaxed geometry at the PBE-GGA level of DFT.

Values from the calculation:
* polymorph energy (0 for the lowest one): 0.161 eV/atom
* Fermi-level density of states: 7.58 states/eV/cell

Cell: 3.2175 3.2175 31.5047 Å, 90.00 90.00 120.00°
Space group R3m (No. 160, hexagonal axes)
Inequivalent atoms, fractional coordinates:
Zr (0.0000, 0.0000, 0.0000) (multiplicity 3)
Tl (0.0000, 0.0000, 0.2489) (multiplicity 3)
Cd (0.0000, 0.0000, 0.4974) (multiplicity 3)
Cd (0.0000, 0.0000, 0.7477) (multiplicity 3)

***

Computed, not measured: crystalline TmCd2 at its relaxed geometry at the PBE-GGA level of DFT.

Values from the calculation:
* Fermi-level density of states: 3.62 states/eV/cell
* total energy: -13.9 eV/cell

Cell: 3.412 3.412 12.301 Å, 90.00 90.00 90.00°
Space group I4/mmm (No. 139)
Inequivalent atoms, fractional coordinates:
Tm (0.000, 0.000, 0.000) (multiplicity 2)
Cd (0.000, 0.000, 0.327) (multiplicity 4)

***

Computed, not measured: crystalline Tm5Cd at its relaxed geometry at the PBE-GGA level of DFT.

Values from the calculation:
* polymorph energy (0 for the lowest one): 0.022 eV/atom
* Fermi-level density of states: 15.18 states/eV/cell

Cell: 12.098 3.668 8.433 Å, 90.00 112.60 90.00°
Space group C2/m (No. 12)
Inequivalent atoms, fractional coordinates:
Tm (0.000, 0.000, 0.000) (multiplicity 2)
Tm (0.147, 0.500, 0.354) (multiplicity 4)
Tm (0.171, 0.500, 0.809) (multiplicity 4)
Cd (0.000, 0.000, 0.500) (multiplicity 2)

***

Computed, not measured: crystalline Tm5Cd2 at its relaxed geometry at the PBE-GGA level of DFT.

Values from the calculation:
* Fermi-level density of states: 19.71 states/eV/cell
* total energy: -99.9 eV/cell

Cell: 7.294 15.912 6.764 Å, 90.00 90.00 90.00°
Space group Cccm (No. 66)
Inequivalent atoms, fractional coordinates:
Tm (0.000, 0.000, 0.250) (multiplicity 4)
Tm (0.000, 0.229, 0.250) (multiplicity 8)
Tm (0.158, 0.405, 0.000) (multiplicity 8)
Cd (0.243, 0.386, 0.500) (multiplicity 8)

***

Computed, not measured: crystalline TmCd6 at its relaxed geometry at the PBE-GGA level of DFT.

Values from the calculation:
* polymorph energy (0 for the lowest one): 0.555 eV/atom
* Fermi-level density of states: 9.72 states/eV/cell

Cell: 7.738 7.738 7.738 Å, 90.00 90.00 90.00°
Space group Im-3m (No. 229)
Inequivalent atoms, fractional coordinates:
Tm (0.000, 0.000, 0.000) (multiplicity 2)
Cd (0.000, 0.250, 0.500) (multiplicity 12)

***

Computed, not measured: crystalline Tm3Cd4 at its relaxed geometry at the PBE-GGA level of DFT.

Values from the calculation:
* Fermi-level density of states: 23.84 states/eV/cell
* total energy: -53.5 eV/cell

Cell: 5.1352 5.1352 25.2171 Å, 90.00 90.00 120.00°
Space group R-3m (No. 166, hexagonal axes)
Inequivalent atoms, fractional coordinates:
Tm (0.0000, 0.0000, 0.0000) (multiplicity 3)
Tm (0.0000, 0.0000, 0.2498) (multiplicity 6)
Cd (0.0000, 0.0000, 0.1271) (multiplicity 6)
Cd (0.0000, 0.0000, 0.3800) (multiplicity 6)

***

Computed, not measured: crystalline Tm2Cd3 at its relaxed geometry at the PBE-GGA level of DFT.

Values from the calculation:
* polymorph energy (0 for the lowest one): 0.047 eV/atom
* Fermi-level density of states: 8.77 states/eV/cell

Cell: 4.9871 4.9871 17.1616 Å, 90.00 90.00 120.00°
Space group R-3m (No. 166, hexagonal axes)
Inequivalent atoms, fractional coordinates:
Tm (0.0000, 0.0000, 0.0992) (multiplicity 6)
Cd (0.0000, 0.0000, 0.3074) (multiplicity 6)
Cd (0.0000, 0.0000, 0.5000) (multiplicity 3)

***

Computed, not measured: crystalline Tm5Cd at its relaxed geometry at the PBE-GGA level of DFT.

Values from the calculation:
* polymorph energy (0 for the lowest one): 0.034 eV/atom
* Fermi-level density of states: 14.53 states/eV/cell

Cell: 4.801 14.782 4.781 Å, 90.00 90.00 90.00°
Space group Cmmm (No. 65)
Inequivalent atoms, fractional coordinates:
Tm (0.000, 0.000, 0.000) (multiplicity 2)
Tm (0.000, 0.164, 0.500) (multiplicity 4)
Tm (0.000, 0.331, 0.000) (multiplicity 4)
Cd (0.000, 0.500, 0.500) (multiplicity 2)

***

Computed, not measured: crystalline Tm7Cd3 at its relaxed geometry at the PBE-GGA level of DFT.

Values from the calculation:
* Fermi-level density of states: 27.88 states/eV/cell
* total energy: -69.6 eV/cell

Cell: 9.7745 9.7745 6.8924 Å, 90.00 90.00 120.00°
Space group P6_3mc (No. 186)
Inequivalent atoms, fractional coordinates:
Tm (0.0633, 0.5317, 0.0000) (multiplicity 6)
Tm (0.1252, 0.2503, 0.7313) (multiplicity 6)
Tm (0.3333, 0.6667, 0.6266) (multiplicity 2)
Cd (0.2085, 0.4170, 0.3024) (multiplicity 6)

***

Computed, not measured: crystalline Tm2Cd17 at its relaxed geometry at the PBE-GGA level of DFT.

Values from the calculation:
* Fermi-level density of states: 15.41 states/eV/cell
* total energy: -77.1 eV/cell

Cell: 10.0078 10.0078 15.0229 Å, 90.00 90.00 120.00°
Space group R-3m (No. 166, hexagonal axes)
Inequivalent atoms, fractional coordinates:
Tm (0.0000, 0.0000, 0.1724) (multiplicity 6)
Cd (0.0000, 0.0000, 0.3979) (multiplicity 6)
Cd (0.0000, 0.3036, 0.5000) (multiplicity 18)
Cd (0.0000, 0.5000, 0.0000) (multiplicity 9)
Cd (0.0164, 0.5082, 0.6458) (multiplicity 18)

***

Computed, not measured: crystalline Tm2Cd5 at its relaxed geometry at the PBE-GGA level of DFT.

Values from the calculation:
* Fermi-level density of states: 13.83 states/eV/cell
* total energy: -59.8 eV/cell

Cell: 7.369 13.950 6.515 Å, 90.00 90.00 90.00°
Space group Ibam (No. 72)
Inequivalent atoms, fractional coordinates:
Tm (0.185, 0.099, 0.000) (multiplicity 8)
Cd (0.000, 0.268, 0.250) (multiplicity 8)
Cd (0.000, 0.500, 0.250) (multiplicity 4)
Cd (0.234, 0.124, 0.500) (multiplicity 8)

***

Computed, not measured: crystalline Tm6Cd23 at its relaxed geometry at the PBE-GGA level of DFT.

Values from the calculation:
* Fermi-level density of states: 60.20 states/eV/cell
* total energy: -210.0 eV/cell

Cell: 13.934 13.934 13.934 Å, 90.00 90.00 90.00°
Space group Fm-3m (No. 225)
Inequivalent atoms, fractional coordinates:
Tm (0.000, 0.000, 0.197) (multiplicity 24)
Cd (0.000, 0.000, 0.500) (multiplicity 4)
Cd (0.000, 0.250, 0.250) (multiplicity 24)
Cd (0.121, 0.121, 0.379) (multiplicity 32)
Cd (0.160, 0.160, 0.160) (multiplicity 32)

***

Size of the total moment per entry: 2.6 0.0 0.0 0.0 0.0 0.0 0.0 0.0 0.0 0.2 0.0 0.0 0.0 0.0 0.0 0.0 3.4 0.0 0.0 0.0 μB per cell
V per entry: 37.1 22.8 23.9 28.8 24.6 24.6 23.2 23.9 23.5 23.9 28.8 28.0 33.1 27.4 24.6 28.3 28.5 22.9 23.9 23.3 Å³ per atom